# 1
Entry from the Alexandria database: a geometry-optimized VCd2O4F structure (PBE with a Hubbard U).

- spin magnetization (μB/f.u.) = 0.0
- final energy (eV per atom) = -5.2997
- space-group type = C2/m (12)

Structure (extended XYZ):
```
8
Lattice="3.0345 0.0000 0.0000 1.5173 4.9840 0.4913 1.5173 1.6071 6.4496" Properties=species:S:1:pos:R:3 pbc="T T T"
O 3.0345 2.8391 6.1291
O 3.0345 3.7521 0.8117
O 3.0345 6.0618 5.1592
O 3.0345 0.5293 1.7817
V 0.0000 0.0000 0.0000
Cd 1.5173 2.1343 2.1641
Cd 4.5518 4.4569 4.7767
F 3.0345 3.2956 3.4704
```


# 2
Entry from the Alexandria database: a geometry-optimized VMo2CO structure (PBE with a Hubbard U).

- spin magnetization (μB/f.u.) = 5.0
- final energy (eV per atom) = -5.3785
- space-group type = P4/mmm (123)

Structure (extended XYZ):
```
5
Lattice="-1.7747 -1.9098 -4.4400 -1.1880 -2.9061 1.7249 -4.5216 2.3271 0.8063" Properties=species:S:1:pos:R:3 pbc="T T T"
O -0.5940 -1.4531 0.8625
Mo -0.8873 -0.9549 -2.2200
Mo -2.2608 1.1635 0.4032
C -3.7422 -1.2444 -0.9544
V 0.0000 0.0000 0.0000
```


- Number 1 is which compound?
  VCd2O4F


- What is the spin magnetization in the first record?
  0.0 μB/f.u.


- Among the records above, which one has the highest spin magnetization?
  VMo2CO


Repeat the first record exactly.
Entry from the Alexandria database: a geometry-optimized VCd2O4F structure (PBE with a Hubbard U).

- spin magnetization (μB/f.u.) = 0.0
- final energy (eV per atom) = -5.2997
- space-group type = C2/m (12)

Structure (extended XYZ):
```
8
Lattice="3.0345 0.0000 0.0000 1.5173 4.9840 0.4913 1.5173 1.6071 6.4496" Properties=species:S:1:pos:R:3 pbc="T T T"
O 3.0345 2.8391 6.1291
O 3.0345 3.7521 0.8117
O 3.0345 6.0618 5.1592
O 3.0345 0.5293 1.7817
V 0.0000 0.0000 0.0000
Cd 1.5173 2.1343 2.1641
Cd 4.5518 4.4569 4.7767
F 3.0345 3.2956 3.4704
```